! PBE Cr3GaP, relaxed; values from VASP
&SYSTEM
  ibrav = 0, nat = 5, ntyp = 3
/
ATOMIC_SPECIES
P 30.97 P.upf
Cr 52.00 Cr.upf
Ga 69.72 Ga.upf
ATOMIC_POSITIONS crystal
P 0.0000 0.0000 0.0000
Cr 0.0000 0.5000 0.0000
Cr 0.5000 0.0000 0.0000
Cr 0.0000 0.0000 0.5000
Ga 0.5000 0.5000 0.5000
CELL_PARAMETERS angstrom
4.1818 0.0000 0.0000
0.0000 4.1818 0.0000
0.0000 0.0000 4.1818
! energy above the most stable polymorph in this dataset = 0.00 kJ per mole of atoms
! formation enthalpy at 0 K = 0.46 eV per atom

! PBE CrGa2P2, relaxed; values from VASP
&SYSTEM
  ibrav = 0, nat = 5, ntyp = 3
/
ATOMIC_SPECIES
P 30.97 P.upf
Ga 69.72 Ga.upf
Cr 52.00 Cr.upf
ATOMIC_POSITIONS crystal
P 0.4214 0.4214 0.1572
P 0.5786 0.5786 0.8428
Ga 0.2500 0.7500 0.5000
Ga 0.7500 0.2500 0.5000
Cr 0.0000 0.0000 0.0000
CELL_PARAMETERS angstrom
3.4324 0.0000 0.0000
0.0000 3.4324 0.0000
1.7162 1.7162 7.0855
! energy above the most stable polymorph in this dataset = 36.16 kJ per mole of atoms
! formation enthalpy at 0 K = 0.45 eV per atom

! PBE CrGaP2, relaxed; values from VASP
&SYSTEM
  ibrav = 0, nat = 4, ntyp = 3
/
ATOMIC_SPECIES
Cr 52.00 Cr.upf
P 30.97 P.upf
Ga 69.72 Ga.upf
ATOMIC_POSITIONS crystal
Cr 0.0000 0.0000 0.0000
P 0.5000 0.0000 0.2423
P 0.0000 0.5000 0.7577
Ga 0.5000 0.5000 0.5000
CELL_PARAMETERS angstrom
-3.0889 1.5949 -1.6918
-2.0448 -3.2024 0.7144
-1.5562 2.0609 4.7841
! formation enthalpy at 0 K = -0.09 eV per atom

! PBE Cr3GaP, relaxed; values from VASP
&SYSTEM
  ibrav = 0, nat = 5, ntyp = 3
/
ATOMIC_SPECIES
Ga 69.72 Ga.upf
P 30.97 P.upf
Cr 52.00 Cr.upf
ATOMIC_POSITIONS crystal
Ga 0.0000 0.0000 0.0000
P 0.5000 0.5000 0.5000
Cr 0.0000 0.5000 0.0000
Cr 0.0000 0.0000 0.5000
Cr 0.5000 0.0000 0.0000
CELL_PARAMETERS angstrom
4.6297 0.0000 0.0000
0.0000 4.6297 0.0000
0.0000 0.0000 4.6297
! energy above the most stable polymorph in this dataset = 70.32 kJ per mole of atoms
! formation enthalpy at 0 K = 1.18 eV per atom

! PBE CrGa2P2, relaxed; values from VASP
&SYSTEM
  ibrav = 0, nat = 10, ntyp = 3
/
ATOMIC_SPECIES
Ga 69.72 Ga.upf
Cr 52.00 Cr.upf
P 30.97 P.upf
ATOMIC_POSITIONS crystal
Ga 0.3208 0.1792 0.5000
Ga 0.6792 0.8208 0.5000
Ga 0.1792 0.6792 0.5000
Ga 0.8208 0.3208 0.5000
Cr 0.5000 0.5000 0.0000
Cr 0.0000 0.0000 0.0000
P 0.8611 0.6389 0.0000
P 0.3611 0.8611 0.0000
P 0.6389 0.1389 0.0000
P 0.1389 0.3611 0.0000
CELL_PARAMETERS angstrom
-2.2162 5.4431 0.9993
-4.7423 -2.4227 2.6792
2.0442 0.1441 3.7486
! energy above the most stable polymorph in this dataset = 0.00 kJ per mole of atoms
! formation enthalpy at 0 K = 0.08 eV per atom

! PBE CrGaP2Pd, relaxed; values from VASP
&SYSTEM
  ibrav = 0, nat = 5, ntyp = 4
/
ATOMIC_SPECIES
P 30.97 P.upf
Pd 106.42 Pd.upf
Cr 52.00 Cr.upf
Ga 69.72 Ga.upf
ATOMIC_POSITIONS crystal
P 0.5000 0.0000 0.0000
P 0.0000 0.0000 0.5000
Pd 0.0000 0.5000 0.0000
Cr 0.0000 0.0000 0.0000
Ga 0.5000 0.5000 0.5000
CELL_PARAMETERS angstrom
4.3028 0.0000 0.0000
0.0000 5.0204 0.0000
0.0000 0.0000 4.3028
! energy above the most stable polymorph in this dataset = 0.00 kJ per mole of atoms
! formation enthalpy at 0 K = 0.36 eV per atom

! PBE CrGaP2Pd, relaxed; values from VASP
&SYSTEM
  ibrav = 0, nat = 5, ntyp = 4
/
ATOMIC_SPECIES
P 30.97 P.upf
Ga 69.72 Ga.upf
Cr 52.00 Cr.upf
Pd 106.42 Pd.upf
ATOMIC_POSITIONS crystal
P 0.5000 0.0000 0.0000
P 0.0000 0.0000 0.5000
Ga 0.5000 0.5000 0.5000
Cr 0.0000 0.5000 0.0000
Pd 0.0000 0.0000 0.0000
CELL_PARAMETERS angstrom
4.5465 0.0000 0.0000
0.0000 4.9003 0.0000
0.0000 0.0000 4.5465
! energy above the most stable polymorph in this dataset = 70.92 kJ per mole of atoms
! formation enthalpy at 0 K = 1.10 eV per atom

! PBE CrGaP2S, relaxed; values from VASP
&SYSTEM
  ibrav = 0, nat = 5, ntyp = 4
/
ATOMIC_SPECIES
P 30.97 P.upf
Cr 52.00 Cr.upf
Ga 69.72 Ga.upf
S 32.06 S.upf
ATOMIC_POSITIONS crystal
P 0.5000 0.0000 0.0000
P 0.0000 0.5000 0.0000
Cr 0.0000 0.0000 0.0000
Ga 0.5000 0.5000 0.5000
S 0.0000 0.0000 0.5000
CELL_PARAMETERS angstrom
4.3000 0.0000 0.0000
0.0000 4.3000 0.0000
0.0000 0.0000 5.1374
! energy above the most stable polymorph in this dataset = 0.00 kJ per mole of atoms
! energy relative to the elements, uncorrected = 0.30 eV per atom

The records above give, respectively, magnetic moment values of 0.00, 0.05, 2.97, 10.25, 0.00, 0.00, 0.19, 0.00 μB per formula unit.
The records above give, respectively, D(E_F) values of 1.132, 1.129, 0.394, 0.832, 0.374, 0.698, 1.635, 0.854 states/eV per atom.